# 1
BaMnN2O: optimized geometry, PBE with a Hubbard U.

Computed properties:
E   -6.468 eV per atom
M_tot   0.20 μB per atom

a b c (Å): 3.995 3.995 4.356
angles (deg): 90.00 90.00 90.00
Space group P4/mmm (No. 123)
Asymmetric unit:
Ba1 0.000 0.000 0.000 (multiplicity 1)
Mn1 0.500 0.500 0.500 (multiplicity 1)
N1 0.000 0.500 0.500 (multiplicity 2)
O1 0.500 0.500 0.000 (multiplicity 1)


# 2
BaMnN2O: optimized geometry, PBE with a Hubbard U.

Computed properties:
E   -4.719 eV per atom
M_tot   1.19 μB per atom

a b c (Å): 4.608 4.608 4.460
angles (deg): 90.00 90.00 90.00
Space group P4/mmm (No. 123)
Asymmetric unit:
Ba1 0.000 0.000 0.000 (multiplicity 1)
Mn1 0.500 0.500 0.500 (multiplicity 1)
N1 0.000 0.500 0.000 (multiplicity 2)
O1 0.000 0.000 0.500 (multiplicity 1)